Entry 1:
VASP calculation (GGA-PBE) on Be5Rh after structural relaxation.

Properties
VASP energy = -4.5073 eV per atom

```
6
Lattice="2.7324 0.0000 0.0000 0.0000 2.7324 0.0000 0.0000 0.0000 7.4230" Properties=species:S:1:pos:R:3 pbc="T T T"
Be 0.0000 0.0000 0.0000
Be 0.0000 0.0000 2.4043
Be 0.0000 0.0000 5.0186
Be 1.3662 1.3662 1.2012
Be 1.3662 1.3662 6.2218
Rh 1.3662 1.3662 3.7115
```

Entry 2:
VASP calculation (GGA-PBE) on ReSb2Rh after structural relaxation.

Properties
E above lowest polymorph = 0.112 eV/atom
formation energy from raw total energies = 0.26 eV/atom

```
4
Lattice="4.6063 0.0000 0.0000 0.0000 4.6063 0.0000 0.0000 0.0000 3.3762" Properties=species:S:1:pos:R:3 pbc="T T T"
Re 0.0000 0.0000 0.0000
Sb 0.0000 2.3032 1.6881
Sb 2.3032 0.0000 1.6881
Rh 2.3032 2.3032 0.0000
```

Entry 3:
VASP calculation (GGA-PBE) on NaAlTcH6 after structural relaxation.

Properties
VASP energy = -4.0640 eV per atom

```
9
Lattice="4.2820 0.0000 0.0000 0.0000 4.9252 0.0000 -1.9822 0.0000 4.0636" Properties=species:S:1:pos:R:3 pbc="T T T"
Na 0.0000 0.0000 0.0000
Al 0.1266 2.4626 2.5442
Tc 2.2654 2.4626 1.1230
H 0.1567 1.2219 3.9348
H 0.1567 3.7033 3.9348
H 1.3081 1.2504 1.8174
H 1.3081 3.6748 1.8174
H 3.0786 1.2787 2.0710
H 3.0786 3.6464 2.0710
```

Entry 4:
VASP calculation (GGA-PBE) on LaMgIr after structural relaxation.

Properties
VASP energy = -4.8181 eV per atom

```
3
Lattice="0.0000 3.4381 3.4381 3.4381 0.0000 3.4381 3.4381 3.4381 0.0000" Properties=species:S:1:pos:R:3 pbc="T T T"
La 0.0000 0.0000 0.0000
Mg 1.7191 1.7191 1.7191
Ir 5.1572 5.1572 5.1572
```

Entry 5:
VASP calculation (GGA-PBE) on HgPt2Se after structural relaxation.

Properties
formation energy from raw total energies = -0.03 eV/atom

```
4
Lattice="4.9500 -1.7626 0.0000 4.9500 1.7626 0.0000 -0.4427 0.0000 5.1302" Properties=species:S:1:pos:R:3 pbc="T T T"
Hg 0.0000 0.0000 0.0000
Pt 0.8127 0.0000 2.6409
Pt 3.7339 0.0000 2.9983
Se 7.3109 0.0000 1.8307
```

Entry 6:
VASP calculation (GGA-PBE) on K2SrTa after structural relaxation.

Properties
E above lowest polymorph = 0.214 eV/atom

```
4
Lattice="5.8691 -1.6666 0.0000 5.8691 1.6666 0.0000 -0.4801 0.0000 8.4272" Properties=species:S:1:pos:R:3 pbc="T T T"
K 0.0000 0.0000 0.0000
K 2.4982 0.0000 5.8913
Sr 5.4600 0.0000 3.5023
Ta 8.6182 0.0000 2.2713
```

Entry 7:
VASP calculation (GGA-PBE) on TbPm5Dy5 after structural relaxation.

Properties
E above lowest polymorph = 0.155 eV/atom

```
11
Lattice="6.1163 0.0000 0.0000 -3.0581 5.2968 0.0000 0.0000 0.0000 11.6967" Properties=species:S:1:pos:R:3 pbc="T T T"
Tb 0.0000 0.0000 0.0000
Pm 0.0000 0.0000 3.7126
Pm 0.0000 0.0000 7.9841
Pm 0.0000 3.5312 1.8080
Pm 0.0000 3.5312 9.8887
Pm 3.0581 1.7656 0.0000
Dy -1.5242 2.6512 5.8483
Dy 1.5242 2.6512 5.8483
Dy 0.0000 5.2913 5.8483
Dy 3.0581 1.7656 3.1036
Dy 3.0581 1.7656 8.5931
```

Entry 8:
VASP calculation (GGA-PBE) on CaTl2Ru after structural relaxation.

Properties
VASP energy = -3.8613 eV per atom

```
4
Lattice="-1.6477 2.2526 6.8475 1.6477 -2.2526 6.8475 1.6477 2.2526 -6.8475" Properties=species:S:1:pos:R:3 pbc="T T T"
Ca 0.0000 0.0000 0.0000
Tl 0.0000 0.0000 4.8637
Tl 0.0000 2.2526 2.4205
Ru 1.6477 0.0000 2.4896
```